Compound: Cs3SmTm3Te8
Source: Alexandria via LeMat-Bulk
Functional: PBE
Structure: relaxed

Properties
DOS(E_F): 7.3 states/eV per cell
symmetry: R-3m (166)
energy relative to the elements, uncorrected: -19.7 eV/f.u.
V: 41.27 Å³ per atom
total magnetization: 0.0 μB/f.u.

Cell and atoms, written as POSCAR:
```
Cs3SmTm3Te8
1.0
4.4099 2.5461 9.1879
-4.4099 2.5461 9.1879
0.0000 -5.0921 9.1879
Cs Sm Tm Te
3 1 3 8
Direct
0.0000 0.5000 0.5000
0.5000 0.0000 0.5000
0.5000 0.5000 0.0000
0.5000 0.5000 0.5000
0.0000 0.0000 0.5000
0.0000 0.5000 0.0000
0.5000 0.0000 0.0000
0.2202 0.7355 0.7355
0.2293 0.2293 0.2293
0.2645 0.2645 0.7798
0.2645 0.7798 0.2645
0.7355 0.2202 0.7355
0.7355 0.7355 0.2202
0.7707 0.7707 0.7707
0.7798 0.2645 0.2645
```